(1)
{"formula": "Fe4Br3", "functional": "GGA-PBE", "state": "optimized geometry", "lattice": [[6.416, 0.000, 0.000], [-3.208, 5.557, 0.000], [0.000, 0.000, 4.294]], "species": ["Fe", "Fe", "Fe", "Fe", "Br", "Br", "Br"], "frac_coords": [[0.000, 0.000, 0.246], [0.000, 0.000, 0.754], [0.333, 0.667, 0.000], [0.667, 0.333, 0.000], [0.000, 0.500, 0.500], [0.500, 0.000, 0.500], [0.500, 0.500, 0.500]], "polymorph_energy_ev_per_fu": 5.13}



(2)
{"formula": "FeBr", "functional": "GGA-PBE", "state": "optimized geometry", "lattice": [[3.633, 0.000, 0.000], [0.000, 3.633, 0.000], [0.000, 0.000, 6.855]], "species": ["Fe", "Fe", "Br", "Br"], "frac_coords": [[0.250, 0.750, 0.000], [0.750, 0.250, 0.000], [0.250, 0.250, 0.261], [0.750, 0.750, 0.739]]}



(3)
{"formula": "FeBr8", "functional": "GGA-PBE", "state": "optimized geometry", "lattice": [[-7.598, 7.598, 2.433], [7.598, -7.598, 2.433], [7.598, 7.598, -2.433]], "species": ["Fe", "Br", "Br", "Br", "Br", "Br", "Br", "Br", "Br"], "frac_coords": [[0.000, 0.000, 0.000], [0.000, 0.153, 0.153], [0.000, 0.847, 0.847], [0.153, 0.000, 0.153], [0.268, 0.268, 0.537], [0.268, 0.732, 0.000], [0.732, 0.268, 0.000], [0.732, 0.732, 0.463], [0.847, 0.000, 0.847]]}



(4)
{"formula": "FeBr2", "functional": "GGA-PBE", "state": "optimized geometry", "lattice": [[6.885, -1.758, 0.000], [6.885, 1.758, 0.000], [-6.588, 0.000, 7.641]], "species": ["Fe", "Fe", "Br", "Br", "Br", "Br"], "frac_coords": [[0.206, 0.206, 0.353], [0.794, 0.794, 0.647], [0.275, 0.275, 0.809], [0.430, 0.430, 0.641], [0.570, 0.570, 0.359], [0.725, 0.725, 0.191]]}



(5)
{"formula": "Fe2Br", "functional": "GGA-PBE", "state": "optimized geometry", "lattice": [[-2.425, 2.425, 4.447], [2.425, -2.425, 4.447], [2.425, 2.425, -4.447]], "species": ["Fe", "Fe", "Fe", "Fe", "Br", "Br"], "frac_coords": [[0.195, 0.695, 0.890], [0.305, 0.195, 0.500], [0.695, 0.805, 0.500], [0.805, 0.305, 0.110], [0.250, 0.250, 0.000], [0.750, 0.750, 0.000]], "polymorph_energy_ev_per_fu": 1.72}



(6)
{"formula": "FeBr2", "functional": "GGA-PBE", "state": "optimized geometry", "lattice": [[4.271, 0.000, 0.000], [-2.135, 3.698, 0.000], [0.000, 0.000, 9.690]], "species": ["Fe", "Fe", "Br", "Br", "Br", "Br"], "frac_coords": [[0.333, 0.667, 0.250], [0.667, 0.333, 0.750], [0.000, 0.000, 0.000], [0.000, 0.000, 0.500], [0.333, 0.667, 0.750], [0.667, 0.333, 0.250]]}



(7)
{"formula": "FeBr", "functional": "GGA-PBE", "state": "optimized geometry", "lattice": [[-5.406, 5.406, 1.670], [5.406, -5.406, 1.670], [5.406, 5.406, -1.670]], "species": ["Fe", "Fe", "Fe", "Fe", "Br", "Br", "Br", "Br"], "frac_coords": [[0.184, 0.700, 0.884], [0.300, 0.184, 0.484], [0.700, 0.816, 0.516], [0.816, 0.300, 0.116], [0.257, 0.482, 0.739], [0.482, 0.743, 0.225], [0.518, 0.257, 0.775], [0.743, 0.518, 0.261]]}



(8)
{"formula": "FeBr", "functional": "GGA-PBE", "state": "optimized geometry", "lattice": [[0.000, 3.954, 5.563], [3.947, 0.000, 5.563], [3.947, 3.954, 0.000]], "species": ["Fe", "Fe", "Fe", "Fe", "Br", "Br", "Br", "Br"], "frac_coords": [[0.020, 0.020, 0.230], [0.230, 0.230, 0.020], [0.770, 0.770, 0.980], [0.980, 0.980, 0.770], [0.155, 0.595, 0.595], [0.405, 0.845, 0.845], [0.595, 0.155, 0.155], [0.845, 0.405, 0.405]]}



(9)
{"formula": "Fe2Br", "functional": "GGA-PBE", "state": "optimized geometry", "lattice": [[3.211, 0.000, 0.000], [-1.606, 2.781, 0.000], [0.000, 0.000, 11.241]], "species": ["Fe", "Fe", "Fe", "Fe", "Br", "Br"], "frac_coords": [[0.333, 0.667, 0.071], [0.333, 0.667, 0.429], [0.667, 0.333, 0.571], [0.667, 0.333, 0.929], [0.000, 0.000, 0.250], [0.000, 0.000, 0.750]], "polymorph_energy_ev_per_fu": 1.12}



(10)
{"formula": "FeBr", "functional": "GGA-PBE", "state": "optimized geometry", "lattice": [[3.429, 0.000, 0.000], [-1.715, 2.970, 0.000], [0.000, 0.000, 7.992]], "species": ["Fe", "Fe", "Br", "Br"], "frac_coords": [[0.333, 0.667, 0.000], [0.667, 0.333, 0.500], [0.333, 0.667, 0.306], [0.667, 0.333, 0.806]]}



(11)
{"formula": "Fe2Br", "functional": "GGA-PBE", "state": "optimized geometry", "lattice": [[3.202, 0.000, 0.000], [-1.601, 2.773, 0.000], [0.000, 0.000, 5.628]], "species": ["Fe", "Fe", "Br"], "frac_coords": [[0.333, 0.667, 0.359], [0.667, 0.333, 0.641], [0.000, 0.000, 0.000]], "polymorph_energy_ev_per_fu": 1.13}



(12)
{"formula": "FeBr", "functional": "GGA-PBE", "state": "optimized geometry", "lattice": [[8.694, -1.692, 0.000], [8.694, 1.692, 0.000], [-1.986, 0.000, 5.693]], "species": ["Fe", "Fe", "Fe", "Br", "Br", "Br"], "frac_coords": [[0.000, 0.000, 0.000], [0.506, 0.506, 0.307], [0.616, 0.616, 0.155], [0.048, 0.048, 0.638], [0.225, 0.225, 0.300], [0.386, 0.386, 0.939]]}



no.,ΔE_f (raw) (meV per atom)
1,1055
2,-44
3,-41
4,-406
5,627
6,139
7,105
8,140
9,426
10,380
11,430
12,-16